Below is a relaxed structure of Na2CrIO6, with properties calculated at the GGA+U level.

Cell lengths 5.3993, 5.3993, 4.7645 Å; angles 90.00, 90.00, 90.00 degrees
Space group P4mm (No. 99)
Inequivalent atoms, fractional coordinates:
Na1 0.0000 0.5000 0.0000 (multiplicity 2)
Cr1 0.0000 0.0000 0.5494 (multiplicity 1)
I1 0.5000 0.5000 0.6109 (multiplicity 1)
O1 0.0000 0.0000 0.2080 (multiplicity 1)
O2 0.2358 0.2358 0.6715 (multiplicity 4)
O3 0.5000 0.5000 0.2254 (multiplicity 1)

Energy   -5.22 eV/atom
Calculated density   3.836 g/cm3

Below is a relaxed structure of NaCrIO6, with properties calculated at the GGA+U level.

Cell lengths 4.6826, 4.6826, 10.6732 Å; angles 90.00, 90.00, 90.00 degrees
Space group P4_2nm (No. 102)
Inequivalent atoms, fractional coordinates:
Na1 0.0000 0.0000 0.0000 (multiplicity 2)
Cr1 0.0000 0.0000 0.6789 (multiplicity 2)
I1 0.0000 0.0000 0.3175 (multiplicity 2)
O1 0.1865 0.1865 0.5782 (multiplicity 4)
O2 0.2003 0.2003 0.8239 (multiplicity 4)
O3 0.2016 0.2016 0.1937 (multiplicity 4)

Energy   -5.23 eV/atom
Calculated density   4.227 g/cm3

The lowest energy belongs to which entry?
NaCrIO6